Record 1
A plane-wave DFT calculation with PBE was carried out for crystalline PuTl2AgSb2 at its relaxed geometry.

a = 4.767 Å, b = 10.400 Å, c = 7.148 Å
α = 90.00°, β = 90.00°, γ = 90.00°
Atoms (fractional coordinates):
Pu  0.000  0.016  0.000
Pu  0.000  0.984  0.500
Tl  0.000  0.339  0.783
Tl  0.000  0.661  0.283
Tl  0.500  0.441  0.452
Tl  0.500  0.559  0.952
Ag  0.500  0.151  0.319
Ag  0.500  0.849  0.819
Sb  0.000  0.276  0.229
Sb  0.000  0.724  0.729
Sb  0.500  0.118  0.730
Sb  0.500  0.882  0.230

Properties
Density of states at the Fermi level   12.79 states/eV/f.u.
Formation energy without anion corrections   -0.180 eV per atom
Mass density   9.4 Mg/m³


Record 2
A plane-wave DFT calculation with PBE was carried out for crystalline LiZr2Sc at its relaxed geometry.

a = 3.176 Å, b = 5.096 Å, c = 5.468 Å
α = 90.00°, β = 90.00°, γ = 90.00°
Atoms (fractional coordinates):
Li  0.000  0.000  0.000
Zr  0.000  0.500  0.500
Zr  0.500  0.000  0.500
Sc  0.500  0.500  0.000

Properties
Density of states at the Fermi level   4.57 states/eV/f.u.
Energy relative to the elements   0.184 eV/atom
Mass density   4.4 Mg/m³


Record 3
A plane-wave DFT calculation with PBE was carried out for crystalline TmInPbBr6 at its relaxed geometry.

a = 7.590 Å, b = 7.590 Å, c = 14.121 Å
α = 90.00°, β = 90.00°, γ = 120.00°
Atoms (fractional coordinates):
Tm  0.333  0.667  0.250
Tm  0.667  0.333  0.750
In  0.000  0.000  0.000
In  0.000  0.000  0.500
Pb  0.333  0.667  0.750
Pb  0.667  0.333  0.250
Br  0.027  0.378  0.135
Br  0.027  0.650  0.365
Br  0.350  0.378  0.365
Br  0.350  0.973  0.135
Br  0.378  0.027  0.635
Br  0.378  0.350  0.865
Br  0.622  0.650  0.135
Br  0.622  0.973  0.365
Br  0.650  0.027  0.865
Br  0.650  0.622  0.635
Br  0.973  0.350  0.635
Br  0.973  0.622  0.865

Properties
Density of states at the Fermi level   0.00 states/eV/f.u.
Formation energy without anion corrections   -1.293 eV per atom
Mass density   4.6 Mg/m³


Record 4
A plane-wave DFT calculation with PBE was carried out for crystalline MoPtSe at its relaxed geometry.

a = 3.016 Å, b = 3.016 Å, c = 6.505 Å
α = 90.00°, β = 90.00°, γ = 120.00°
Atoms (fractional coordinates):
Mo  0.000  0.000  0.000
Pt  0.667  0.333  0.327
Se  0.333  0.667  0.718

Properties
Density of states at the Fermi level   2.65 states/eV/f.u.
Distance to the lowest polymorph of the same formula   4.7 kJ/mol of atoms
Formation energy without anion corrections   -0.027 eV per atom
Mass density   12.0 Mg/m³


Record 5
A plane-wave DFT calculation with PBE was carried out for crystalline LiCo4Te at its relaxed geometry.

a = 4.873 Å, b = 4.873 Å, c = 4.873 Å
α = 60.00°, β = 60.00°, γ = 60.00°
Atoms (fractional coordinates):
Li  0.000  0.000  0.000
Co  0.374  0.374  0.374
Co  0.374  0.374  0.877
Co  0.374  0.877  0.374
Co  0.877  0.374  0.374
Te  0.750  0.750  0.750

Properties
Density of states at the Fermi level   7.74 states/eV/f.u.
Formation energy without anion corrections   0.171 eV per atom
Mass density   7.5 Mg/m³


Record 6
A plane-wave DFT calculation with PBE was carried out for crystalline PrDy6Er at its relaxed geometry.

a = 5.035 Å, b = 5.035 Å, c = 10.059 Å
α = 90.00°, β = 90.00°, γ = 90.00°
Atoms (fractional coordinates):
Pr  0.000  0.000  0.000
Dy  0.000  0.500  0.253
Dy  0.000  0.500  0.747
Dy  0.500  0.000  0.253
Dy  0.500  0.000  0.747
Dy  0.500  0.500  0.000
Dy  0.500  0.500  0.500
Er  0.000  0.000  0.500

Properties
Density of states at the Fermi level   11.99 states/eV/f.u.
Distance to the lowest polymorph of the same formula   0.0 kJ/mol of atoms
Energy relative to the elements   0.024 eV/atom
Mass density   8.4 Mg/m³


Record 7
A plane-wave DFT calculation with PBE was carried out for crystalline TaAlSb2Te at its relaxed geometry.

a = 5.413 Å, b = 5.413 Å, c = 5.388 Å
α = 90.00°, β = 90.00°, γ = 90.00°
Atoms (fractional coordinates):
Ta  0.000  0.000  0.000
Al  0.500  0.500  0.500
Sb  0.000  0.500  0.000
Sb  0.500  0.000  0.000
Te  0.000  0.000  0.500

Properties
Density of states at the Fermi level   3.13 states/eV/f.u.
Distance to the lowest polymorph of the same formula   0.0 kJ/mol of atoms
Formation energy without anion corrections   0.489 eV per atom
Mass density   6.1 Mg/m³


Record 8
A plane-wave DFT calculation with PBE was carried out for crystalline RbCeDy4Se8 at its relaxed geometry.

a = 8.777 Å, b = 8.777 Å, c = 8.777 Å
α = 58.76°, β = 58.76°, γ = 58.76°
Atoms (fractional coordinates):
Rb  0.000  0.000  0.000
Ce  0.366  0.366  0.366
Dy  0.366  0.366  0.884
Dy  0.366  0.884  0.366
Dy  0.745  0.745  0.745
Dy  0.884  0.366  0.366
Se  0.133  0.133  0.569
Se  0.133  0.569  0.133
Se  0.139  0.618  0.618
Se  0.140  0.140  0.140
Se  0.569  0.133  0.133
Se  0.614  0.614  0.614
Se  0.618  0.139  0.618
Se  0.618  0.618  0.139

Properties
Density of states at the Fermi level   8.38 states/eV/f.u.
Formation energy without anion corrections   -1.700 eV per atom
Mass density   5.4 Mg/m³


Record 9
A plane-wave DFT calculation with PBE was carried out for crystalline CeIn2Ru at its relaxed geometry.

a = 4.789 Å, b = 9.939 Å, c = 7.639 Å
α = 90.00°, β = 90.00°, γ = 90.00°
Atoms (fractional coordinates):
Ce  0.000  0.060  0.250
Ce  0.000  0.940  0.750
Ce  0.500  0.440  0.750
Ce  0.500  0.560  0.250
In  0.000  0.353  0.045
In  0.000  0.353  0.455
In  0.000  0.647  0.545
In  0.000  0.647  0.955
In  0.500  0.147  0.545
In  0.500  0.147  0.955
In  0.500  0.853  0.045
In  0.500  0.853  0.455
Ru  0.000  0.170  0.750
Ru  0.000  0.830  0.250
Ru  0.500  0.330  0.250
Ru  0.500  0.670  0.750

Properties
Density of states at the Fermi level   2.95 states/eV/f.u.
Energy relative to the elements   -0.440 eV/atom
Mass density   8.6 Mg/m³


Record 10
A plane-wave DFT calculation with PBE was carried out for crystalline Tb2ZrIn3 at its relaxed geometry.

a = 3.362 Å, b = 3.362 Å, c = 13.263 Å
α = 90.00°, β = 90.00°, γ = 90.00°
Atoms (fractional coordinates):
Tb  0.000  0.000  0.174
Tb  0.000  0.000  0.826
Zr  0.000  0.000  0.500
In  0.500  0.500  0.000
In  0.500  0.500  0.344
In  0.500  0.500  0.656

Properties
Density of states at the Fermi level   6.06 states/eV/f.u.
Distance to the lowest polymorph of the same formula   0.0 kJ/mol of atoms
Energy relative to the elements   -0.389 eV/atom
Mass density   8.3 Mg/m³


Record 11
A plane-wave DFT calculation with PBE was carried out for crystalline NaTl2Cd2Hg2 at its relaxed geometry.

a = 4.880 Å, b = 4.880 Å, c = 10.134 Å
α = 90.00°, β = 90.00°, γ = 120.00°
Atoms (fractional coordinates):
Na  0.000  0.000  0.000
Tl  0.000  0.000  0.323
Tl  0.000  0.000  0.677
Cd  0.333  0.667  0.463
Cd  0.667  0.333  0.537
Hg  0.333  0.667  0.847
Hg  0.667  0.333  0.153

Properties
Density of states at the Fermi level   2.73 states/eV/f.u.
Energy relative to the elements   -0.015 eV/atom
Mass density   8.4 Mg/m³


Record 12
A plane-wave DFT calculation with PBE was carried out for crystalline LaY5Tm3 at its relaxed geometry.

a = 9.972 Å, b = 9.972 Å, c = 9.972 Å
α = 129.28°, β = 129.28°, γ = 74.56°
Atoms (fractional coordinates):
La  0.250  0.750  0.500
La  0.750  0.250  0.500
Y  0.000  0.000  0.000
Y  0.061  0.561  0.894
Y  0.167  0.061  0.500
Y  0.333  0.833  0.894
Y  0.439  0.333  0.500
Y  0.500  0.500  0.000
Y  0.561  0.667  0.500
Y  0.667  0.167  0.106
Y  0.833  0.939  0.500
Y  0.939  0.439  0.106
Tm  0.121  0.379  0.500
Tm  0.250  0.250  0.000
Tm  0.379  0.879  0.258
Tm  0.621  0.121  0.742
Tm  0.750  0.750  0.000
Tm  0.879  0.621  0.500

Properties
Density of states at the Fermi level   12.13 states/eV/f.u.
Distance to the lowest polymorph of the same formula   0.0 kJ/mol of atoms
Energy relative to the elements   0.271 eV/atom
Mass density   6.3 Mg/m³